Record 1
Computed, not measured: a relaxed TaBeTl crystal at the GGA-PBE level of DFT.

Structure (POSCAR):
```
TaBeTl
1.0
6.332 0.000 0.000
0.000 6.332 0.000
0.000 0.000 6.332
Ta Be Tl
4 4 4
direct
0.000 0.000 0.000 Ta
0.000 0.500 0.500 Ta
0.500 0.000 0.500 Ta
0.500 0.500 0.000 Ta
0.250 0.250 0.750 Be
0.250 0.750 0.250 Be
0.750 0.250 0.250 Be
0.750 0.750 0.750 Be
0.250 0.250 0.250 Tl
0.250 0.750 0.750 Tl
0.750 0.250 0.750 Tl
0.750 0.750 0.250 Tl
```

Relative energy among the computed polymorphs (meV/atom): 468

---

Record 2
Computed, not measured: a relaxed TaBeTl crystal at the GGA-PBE level of DFT.

Structure (POSCAR):
```
TaBeTl
1.0
5.946 0.000 0.000
0.000 5.946 0.000
0.000 0.000 5.946
Ta Be Tl
4 4 4
direct
0.000 0.000 0.000 Ta
0.000 0.500 0.500 Ta
0.500 0.000 0.500 Ta
0.500 0.500 0.000 Ta
0.250 0.250 0.250 Be
0.250 0.750 0.750 Be
0.750 0.250 0.750 Be
0.750 0.750 0.250 Be
0.000 0.000 0.500 Tl
0.000 0.500 0.000 Tl
0.500 0.000 0.000 Tl
0.500 0.500 0.500 Tl
```

Relative energy among the computed polymorphs (meV/atom): 0

---

Record 3
Computed, not measured: a relaxed UTaBe crystal at the GGA-PBE level of DFT.

Structure (POSCAR):
```
UTaBe
1.0
6.005 0.000 0.000
0.000 6.005 0.000
0.000 0.000 6.005
U Ta Be
4 4 4
direct
0.000 0.000 0.000 U
0.000 0.500 0.500 U
0.500 0.000 0.500 U
0.500 0.500 0.000 U
0.000 0.000 0.500 Ta
0.000 0.500 0.000 Ta
0.500 0.000 0.000 Ta
0.500 0.500 0.500 Ta
0.250 0.250 0.750 Be
0.250 0.750 0.250 Be
0.750 0.250 0.250 Be
0.750 0.750 0.750 Be
```

Relative energy among the computed polymorphs (meV/atom): 0

---

Record 4
Computed, not measured: a relaxed UTaBe crystal at the GGA-PBE level of DFT.

Structure (POSCAR):
```
UTaBe
1.0
6.230 0.000 0.000
0.000 6.230 0.000
0.000 0.000 6.230
U Ta Be
4 4 4
direct
0.000 0.000 0.000 U
0.000 0.500 0.500 U
0.500 0.000 0.500 U
0.500 0.500 0.000 U
0.250 0.250 0.250 Ta
0.250 0.750 0.750 Ta
0.750 0.250 0.750 Ta
0.750 0.750 0.250 Ta
0.250 0.250 0.750 Be
0.250 0.750 0.250 Be
0.750 0.250 0.250 Be
0.750 0.750 0.750 Be
```

Relative energy among the computed polymorphs (meV/atom): 829

---

Record 5
Computed, not measured: a relaxed TaBe2W2 crystal at the GGA-PBE level of DFT.

Structure (POSCAR):
```
TaBe2W2
1.0
6.322 0.000 0.000
0.000 6.322 0.000
0.000 0.000 3.260
Ta Be W
2 4 4
direct
0.000 0.000 0.000 Ta
0.500 0.500 0.000 Ta
0.115 0.385 0.000 Be
0.385 0.885 0.000 Be
0.615 0.115 0.000 Be
0.885 0.615 0.000 Be
0.176 0.676 0.500 W
0.324 0.176 0.500 W
0.676 0.824 0.500 W
0.824 0.324 0.500 W
```

Calculated total energy (eV per cell): -92.766

---

Record 6
Computed, not measured: a relaxed YTa2Be crystal at the GGA-PBE level of DFT.

Structure (POSCAR):
```
YTa2Be
1.0
6.670 0.000 0.000
0.000 6.670 0.000
0.000 0.000 6.670
Y Ta Be
4 8 4
direct
0.000 0.000 0.000 Y
0.000 0.500 0.500 Y
0.500 0.000 0.500 Y
0.500 0.500 0.000 Y
0.000 0.000 0.500 Ta
0.000 0.500 0.000 Ta
0.250 0.250 0.250 Ta
0.250 0.750 0.750 Ta
0.500 0.000 0.000 Ta
0.500 0.500 0.500 Ta
0.750 0.250 0.750 Ta
0.750 0.750 0.250 Ta
0.250 0.250 0.750 Be
0.250 0.750 0.250 Be
0.750 0.250 0.250 Be
0.750 0.750 0.750 Be
```

Calculated total energy (eV per cell): -128.707

---

Record 7
Computed, not measured: a relaxed YTaBe crystal at the GGA-PBE level of DFT.

Structure (POSCAR):
```
YTaBe
1.0
3.853 0.000 0.000
0.000 3.853 0.000
0.000 0.000 7.329
Y Ta Be
2 2 2
direct
0.250 0.750 0.000 Y
0.750 0.250 0.000 Y
0.250 0.250 0.387 Ta
0.750 0.750 0.613 Ta
0.250 0.250 0.712 Be
0.750 0.750 0.288 Be
```

Relative energy among the computed polymorphs (meV/atom): 0

---

Record 8
Computed, not measured: a relaxed Y2TaBe crystal at the GGA-PBE level of DFT.

Structure (POSCAR):
```
Y2TaBe
1.0
6.963 0.000 0.000
0.000 6.963 0.000
0.000 0.000 6.963
Y Ta Be
8 4 4
direct
0.000 0.000 0.000 Y
0.000 0.500 0.500 Y
0.250 0.250 0.250 Y
0.250 0.750 0.750 Y
0.500 0.000 0.500 Y
0.500 0.500 0.000 Y
0.750 0.250 0.750 Y
0.750 0.750 0.250 Y
0.250 0.250 0.750 Ta
0.250 0.750 0.250 Ta
0.750 0.250 0.250 Ta
0.750 0.750 0.750 Ta
0.000 0.000 0.500 Be
0.000 0.500 0.000 Be
0.500 0.000 0.000 Be
0.500 0.500 0.500 Be
```

Calculated total energy (eV per cell): -103.932

---

Record 9
Computed, not measured: a relaxed YTaBe crystal at the GGA-PBE level of DFT.

Structure (POSCAR):
```
YTaBe
1.0
6.452 0.000 0.000
0.000 6.452 0.000
0.000 0.000 6.452
Y Ta Be
4 4 4
direct
0.000 0.000 0.000 Y
0.000 0.500 0.500 Y
0.500 0.000 0.500 Y
0.500 0.500 0.000 Y
0.250 0.250 0.750 Ta
0.250 0.750 0.250 Ta
0.750 0.250 0.250 Ta
0.750 0.750 0.750 Ta
0.000 0.000 0.500 Be
0.000 0.500 0.000 Be
0.500 0.000 0.000 Be
0.500 0.500 0.500 Be
```

Relative energy among the computed polymorphs (meV/atom): 748

---

Record 10
Computed, not measured: a relaxed YTaBe crystal at the GGA-PBE level of DFT.

Structure (POSCAR):
```
YTaBe
1.0
6.559 0.000 0.000
0.000 6.559 0.000
0.000 0.000 6.559
Y Ta Be
4 4 4
direct
0.000 0.000 0.000 Y
0.000 0.500 0.500 Y
0.500 0.000 0.500 Y
0.500 0.500 0.000 Y
0.250 0.250 0.250 Ta
0.250 0.750 0.750 Ta
0.750 0.250 0.750 Ta
0.750 0.750 0.250 Ta
0.250 0.250 0.750 Be
0.250 0.750 0.250 Be
0.750 0.250 0.250 Be
0.750 0.750 0.750 Be
```

Relative energy among the computed polymorphs (meV/atom): 1092

---

Record 11
Computed, not measured: a relaxed TaBeZn crystal at the GGA-PBE level of DFT.

Structure (POSCAR):
```
TaBeZn
1.0
5.875 0.000 0.000
0.000 5.875 0.000
0.000 0.000 5.875
Ta Be Zn
4 4 4
direct
0.000 0.000 0.000 Ta
0.000 0.500 0.500 Ta
0.500 0.000 0.500 Ta
0.500 0.500 0.000 Ta
0.250 0.250 0.750 Be
0.250 0.750 0.250 Be
0.750 0.250 0.250 Be
0.750 0.750 0.750 Be
0.250 0.250 0.250 Zn
0.250 0.750 0.750 Zn
0.750 0.250 0.750 Zn
0.750 0.750 0.250 Zn
```

Calculated total energy (eV per cell): -56.008

---

Record 12
Computed, not measured: a relaxed TaBeZn2 crystal at the GGA-PBE level of DFT.

Structure (POSCAR):
```
TaBeZn2
1.0
6.050 0.000 0.000
0.000 6.050 0.000
0.000 0.000 6.050
Ta Be Zn
4 4 8
direct
0.000 0.000 0.000 Ta
0.000 0.500 0.500 Ta
0.500 0.000 0.500 Ta
0.500 0.500 0.000 Ta
0.250 0.250 0.250 Be
0.250 0.750 0.750 Be
0.750 0.250 0.750 Be
0.750 0.750 0.250 Be
0.000 0.000 0.500 Zn
0.000 0.500 0.000 Zn
0.250 0.250 0.750 Zn
0.250 0.750 0.250 Zn
0.500 0.000 0.000 Zn
0.500 0.500 0.500 Zn
0.750 0.250 0.250 Zn
0.750 0.750 0.750 Zn
```

Calculated total energy (eV per cell): -67.267